DFT (PBE-GGA) results for a relaxed structure of YTeF2.

a b c (Å): 3.4671 3.4671 28.6603
angles (deg): 90.00 90.00 120.00
Space group R-3m (No. 166, hexagonal axes)
Unique sites:
Y: 0.0000 0.0000 0.0000
Te: 0.0000 0.0000 0.5000
F: 0.0000 0.0000 0.0717

Total DFT energy (no corrections), eV per atom: -4.94
Energy relative to the elements, uncorrected, eV per atom: -1.607